HfMg2Re, optimized geometry, DFT GGA-PBE; offset from the most stable computed form = 0.072 eV per atom; symmetry = No. 122; N(E_F) = 10.0 states/eV/cell; uncorrected energy = -5.8634 eV/atom; energy of formation from the pure elements = 12.32 kcal/mol of atoms
1.0
3.918 0.000 0.000
0.000 3.918 0.000
1.959 1.959 10.375
Re Mg Hf
2 4 2
Direct
0.000 0.000 0.000 Re
0.750 0.250 0.500 Re
0.642 0.125 0.250 Mg
0.108 0.625 0.250 Mg
0.375 0.358 0.750 Mg
0.875 0.892 0.750 Mg
0.500 0.500 0.000 Hf
0.250 0.750 0.500 Hf